# CdW2S

An optimized crystal structure of CdW2S (PBE-GGA, the Alexandria database).

Lattice parameters (Å, degrees): 3.8434 3.8434 10.0818 79.01 79.01 90.00
Closest atoms and distances in Å follow each position.
Fractional coordinates of all 8 atoms:
1 S 0.5000 0.5000 0.0000  4 Cd 2.72, 4 W 2.77
2 S 0.2500 0.7500 0.5000  4 Cd 2.72, 4 W 2.77
3 W 0.6136 0.1250 0.2500  4 W 2.66-2.78, 2 S 2.77, 2 Cd 2.80
4 W 0.1364 0.6250 0.2500  4 W 2.66-2.78, 2 S 2.77, 2 Cd 2.80
5 W 0.3750 0.3864 0.7500  4 W 2.66-2.78, 2 S 2.77, 2 Cd 2.80
6 W 0.8750 0.8636 0.7500  4 W 2.66-2.78, 2 S 2.77, 2 Cd 2.80
7 Cd 0.0000 0.0000 0.0000  4 S 2.72, 4 W 2.80
8 Cd 0.7500 0.2500 0.5000  4 S 2.72, 4 W 2.80

Output
Final energy = -54.836 eV for the cell shown
Relative energy among the computed polymorphs = 0 meV/atom
Energy relative to the elements, uncorrected = 0.883 eV/atom

# CdW3S

An optimized crystal structure of CdW3S (PBE-GGA, the Alexandria database).

Lattice parameters (Å, degrees): 4.8807 4.8807 4.8807 90.00 90.00 90.00
Closest atoms and distances in Å follow each position.
Fractional coordinates of all 5 atoms:
1 S 0.5000 0.5000 0.5000  12 W 3.45
2 W 0.0000 0.5000 0.0000  2 Cd 2.44
3 W 0.0000 0.0000 0.5000  2 Cd 2.44
4 W 0.5000 0.0000 0.0000  2 Cd 2.44
5 Cd 0.0000 0.0000 0.0000  6 W 2.44

Output
Final energy = -27.157 eV for the cell shown
Relative energy among the computed polymorphs = 2463 meV/atom
Energy relative to the elements, uncorrected = 3.349 eV/atom

# YCdW2S

An optimized crystal structure of YCdW2S (PBE-GGA, the Alexandria database).

Lattice parameters (Å, degrees): 4.9718 5.4869 4.9718 90.00 90.00 90.00
Closest atoms and distances in Å follow each position.
Fractional coordinates of all 5 atoms:
1 Y 0.0000 0.0000 0.0000  4 W 2.49, 2 Cd 2.74
2 S 0.5000 0.5000 0.5000  4 Cd 3.52, 8 W 3.70
3 W 0.0000 0.0000 0.5000  2 Y 2.49
4 W 0.5000 0.0000 0.0000  2 Y 2.49
5 Cd 0.0000 0.5000 0.0000  2 Y 2.74

Output
Final energy = -23.847 eV for the cell shown
Energy relative to the elements, uncorrected = 2.713 eV/atom

# ZnCd2WS

An optimized crystal structure of ZnCd2WS (PBE-GGA, the Alexandria database).

Lattice parameters (Å, degrees): 5.1619 4.4282 5.1619 90.00 90.00 90.00
Closest atoms and distances in Å follow each position.
Fractional coordinates of all 5 atoms:
1 Zn 0.0000 0.0000 0.0000  2 S 2.21
2 S 0.0000 0.5000 0.0000  2 Zn 2.21
3 W 0.5000 0.5000 0.5000  8 Cd 3.40, 4 S 3.65
4 Cd 0.0000 0.0000 0.5000  2 Zn 2.58
5 Cd 0.5000 0.0000 0.0000  2 Zn 2.58

Output
Final energy = -13.531 eV for the cell shown
Energy relative to the elements, uncorrected = 1.331 eV/atom